## Pd2Au (PBE)

Data for a relaxed Pd2Au crystal.

Results
The value obtained for the total DFT energy (no corrections) is -4.597 eV/atom.

Cell and atoms, written as POSCAR:
```
Pd2Au
1.0
2.838 0.000 0.000
0.000 2.838 0.000
-1.419 -1.419 6.043
Au Pd
1 2
Cartesian
0.000 0.000 0.000
1.419 1.419 2.050
0.000 0.000 3.993
```